No. 1
NaHg3Au3: relaxed, PBE-GGA.

a = 7.819 Å, b = 7.819 Å, c = 7.819 Å
α = 90.00°, β = 90.00°, γ = 90.00°
Fractional positions:
Na: 0.500 0.500 0.500
Na: 0.000 0.000 0.000
Au: 0.000 0.250 0.500
Au: 0.000 0.750 0.500
Au: 0.500 0.000 0.750
Au: 0.750 0.500 0.000
Au: 0.500 0.000 0.250
Au: 0.250 0.500 0.000
Hg: 0.250 0.000 0.500
Hg: 0.000 0.500 0.250
Hg: 0.500 0.750 0.000
Hg: 0.750 0.000 0.500
Hg: 0.000 0.500 0.750
Hg: 0.500 0.250 0.000

Computed properties:
magnetic moment: 0.0 μB/cell
symmetry: No. 223
E_form: 0.172 eV/atom

---

No. 2
K2Tl3GaCl6: relaxed, PBE-GGA.

a = 4.518 Å, b = 9.057 Å, c = 10.118 Å
α = 103.18°, β = 102.90°, γ = 90.00°
Fractional positions:
K: 0.835 0.670 0.669
K: 0.165 0.330 0.331
Tl: 0.500 0.500 0.000
Tl: 0.834 0.166 0.667
Tl: 0.166 0.834 0.333
Ga: 0.500 0.000 0.000
Cl: 0.340 0.916 0.680
Cl: 0.668 0.577 0.337
Cl: 0.660 0.084 0.320
Cl: 0.001 0.238 0.002
Cl: 0.999 0.762 0.998
Cl: 0.332 0.423 0.663

Computed properties:
magnetic moment: 0.0 μB/cell
final energy: -0.1184 Ha/atom
symmetry: No. 12

---

No. 3
V4Mo2Ru: relaxed, PBE-GGA.

a = 4.474 Å, b = 4.474 Å, c = 6.937 Å
α = 71.19°, β = 71.19°, γ = 90.00°
Last column: magnetic moment on the atom in μB.
Fractional positions:
Ru: 0.000 0.000 0.000  -0.10
Mo: 0.378 0.378 0.245  -0.32
Mo: 0.622 0.622 0.755  -0.32
V: 0.195 0.195 0.610  0.52
V: 0.805 0.805 0.390  0.52
V: 0.000 0.500 0.000  0.42
V: 0.500 0.000 0.000  0.42

Computed properties:
magnetic moment: 1.3 μB/cell
symmetry: No. 139
E_form: 1.085 eV/atom
energy relative to the lowest polymorph listed for this composition: 89.0 kJ/mol of atoms